Entry 1:
First-principles (PBE) data for a relaxed Mo5C7 crystal, as listed in the Alexandria database.

a b c (Å): 5.5111 5.5111 5.5111
angles (deg): 105.07 105.07 118.69
With the nearest neighbours (Å) after each atom.
Sites, in units of the cell vectors:
1 C 0.3849 0.8849 0.5000  2 C 1.38
2 Mo 0.3060 0.3060 0.5987  7 C 2.24-2.51
3 C 0.1070 0.7995 0.3074  1 C 1.38
4 Mo 0.7074 0.7074 0.4013  7 C 2.24-2.51
5 Mo 0.9119 0.9119 0.0000  5 C 2.14-2.16
6 Mo 0.3060 0.7074 0.0000  7 C 2.24-2.51
7 C 0.7995 0.1070 0.3074  1 C 1.38
8 C 0.2933 0.2933 0.0000  5 Mo 2.14-2.25
9 Mo 0.7074 0.3060 0.0000  7 C 2.24-2.51
10 C 0.7995 0.4921 0.6926  1 C 1.38
11 C 0.4921 0.7995 0.6926  1 C 1.38
12 C 0.8849 0.3849 0.5000  2 C 1.38

Summary:
- mass density (g cm⁻³) = 7.41
- energy relative to the elements (eV per atom) = 0.57
- final energy (eV for the cell shown) = -111.91


Entry 2:
First-principles (PBE) data for a relaxed MoC3 crystal, as listed in the Alexandria database.

a b c (Å): 4.0729 4.0729 4.0729
angles (deg): 90.00 90.00 90.00
With the nearest neighbours (Å) after each atom.
Sites, in units of the cell vectors:
1 Mo 0.0000 0.0000 0.0000  12 C 2.28
2 C 0.0000 0.7500 0.5000  2 C 2.04, 4 Mo 2.28
3 C 0.5000 0.0000 0.2500  2 C 2.04, 4 Mo 2.28
4 C 0.2500 0.5000 0.0000  2 C 2.04, 4 Mo 2.28
5 C 0.0000 0.2500 0.5000  2 C 2.04, 4 Mo 2.28
6 C 0.7500 0.5000 0.0000  2 C 2.04, 4 Mo 2.28
7 C 0.5000 0.0000 0.7500  2 C 2.04, 4 Mo 2.28
8 Mo 0.5000 0.5000 0.5000  12 C 2.28

Summary:
- mass density (g cm⁻³) = 6.49
- energy relative to the elements (eV per atom) = 2.15
- relative energy among the computed polymorphs (meV per atom) = 1414
- final energy (eV for the cell shown) = -59.84


Entry 3:
First-principles (PBE) data for a relaxed MoC3 crystal, as listed in the Alexandria database.

a b c (Å): 3.2039 3.2039 5.7710
angles (deg): 90.00 90.00 135.95
With the nearest neighbours (Å) after each atom.
Sites, in units of the cell vectors:
1 C 0.5000 0.5000 0.7500  4 C 1.57
2 C 0.0000 0.0000 0.5762  2 C 1.57
3 C 0.0000 0.0000 0.9238  2 C 1.57
4 Mo 0.5000 0.5000 0.2500  4 C 2.23, 2 Mo 2.40

Summary:
- mass density (g cm⁻³) = 5.32
- energy relative to the elements (eV per atom) = 1.89
- relative energy among the computed polymorphs (meV per atom) = 1155
- final energy (eV for the cell shown) = -30.96


> Which of these has the highest final energy?

number 3


> Which of these has the lowest energy relative to the elements?

Mo5C7


> Among the records above, which one has the lowest mass density?

number 3